Entry 1:
! Sr2CePuN4 PBE-GGA relaxed; values from VASP
! Space group: P2/m, No. 10
! Energy relative to the elements, uncorrected (eV per atom): -1.104
&SYSTEM
  ibrav = 0, nat = 8, ntyp = 4
/
ATOMIC_SPECIES
Sr 87.62 Sr.upf
Ce 140.12 Ce.upf
Pu 244.00 Pu.upf
N 14.01 N.upf
ATOMIC_POSITIONS crystal
Sr 0.5000 0.0000 0.5000
Sr 0.0000 0.5000 0.5000
Ce 0.5000 0.5000 0.0000
Pu 0.0000 0.0000 0.0000
N 0.5000 0.2230 0.2005
N 0.5000 0.7770 0.7995
N 0.0000 0.2604 0.7966
N 0.0000 0.7396 0.2034
CELL_PARAMETERS angstrom
3.6060 0.0000 0.0000
0.0000 6.2761 0.0933
0.0000 -2.2087 5.9411


Entry 2:
! HWSe2 PBE-GGA relaxed; values from VASP
! Space group: R3m, No. 160
! ΔE to the lowest computed polymorph (kJ/mol of atoms): 0.00
&SYSTEM
  ibrav = 0, nat = 4, ntyp = 3
/
ATOMIC_SPECIES
H 1.01 H.upf
W 183.84 W.upf
Se 78.96 Se.upf
ATOMIC_POSITIONS crystal
H 0.4583 0.4583 0.6248
W 0.7918 0.7918 0.6253
Se 0.0389 0.0389 0.8819
Se 0.2110 0.2110 0.3679
CELL_PARAMETERS angstrom
3.2518 0.0015 0.7501
1.5411 2.8635 0.7501
0.0404 0.0242 7.2807


Entry 3:
! NaCa2SnPd PBE-GGA relaxed; values from VASP
! Space group: P4/mmm, No. 123
! Energy of formation from the pure elements (eV/atom): -0.37
&SYSTEM
  ibrav = 0, nat = 5, ntyp = 4
/
ATOMIC_SPECIES
Na 22.99 Na.upf
Ca 40.08 Ca.upf
Sn 118.71 Sn.upf
Pd 106.42 Pd.upf
ATOMIC_POSITIONS crystal
Na 0.5000 0.5000 0.5000
Ca 0.0000 0.5000 0.0000
Ca 0.5000 0.0000 0.0000
Sn 0.0000 0.0000 0.5000
Pd 0.0000 0.0000 0.0000
CELL_PARAMETERS angstrom
5.6276 0.0000 0.0000
0.0000 5.6276 0.0000
0.0000 0.0000 5.1239


Entry 4:
! LiSnBr6 PBE-GGA relaxed; values from VASP
! Space group: C2/m, No. 12
! Energy relative to the elements, uncorrected (eV per atom): -0.676
&SYSTEM
  ibrav = 0, nat = 8, ntyp = 3
/
ATOMIC_SPECIES
Li 6.94 Li.upf
Sn 118.71 Sn.upf
Br 79.90 Br.upf
ATOMIC_POSITIONS crystal
Li 0.0000 0.0000 0.0000
Sn 0.5000 0.5000 0.0000
Br 0.7635 0.4150 0.7135
Br 0.7635 0.1285 0.2865
Br 0.2365 0.8715 0.7135
Br 0.2365 0.5850 0.2865
Br 0.6669 0.7841 0.0000
Br 0.3331 0.2159 0.0000
CELL_PARAMETERS angstrom
7.3986 0.6820 0.0000
2.5449 6.3938 0.0000
1.2725 3.1969 6.3660